Record 1
{
  "formula": "Ta2OsCl",
  "functional": "PBE",
  "state": "relaxed",
  "cell": [[3.897, -1.458, 0.000], [3.897, 1.458, 0.000], [-3.697, 0.000, 7.263]],
  "species": ["Ta", "Ta", "Os", "Cl"],
  "frac_coords": [[0.179, 0.179, 0.309], [0.821, 0.821, 0.691], [0.000, 0.000, 0.500], [0.500, 0.500, 0.000]],
  "raw_formation_energy_ev_per_atom": 0.120,
  "total_magnetization_mub_per_cell": 0.0,
  "vol_a3_per_atom": 20.63,
  "sg": "C2/m",
  "dos_ef_per_ev_atom": 0.814
}

=====

Record 2
{
  "formula": "RbDyTl2F6",
  "functional": "PBE",
  "state": "relaxed",
  "cell": [[6.664, 0.000, 0.000], [3.103, 5.899, 0.000], [3.102, 1.875, 5.600]],
  "species": ["Rb", "Dy", "Tl", "Tl", "F", "F", "F", "F", "F", "F"],
  "frac_coords": [[0.000, 0.000, 0.000], [0.500, 0.500, 0.500], [0.269, 0.269, 0.270], [0.731, 0.731, 0.730], [0.179, 0.387, 0.683], [0.314, 0.821, 0.613], [0.388, 0.685, 0.179], [0.612, 0.315, 0.821], [0.686, 0.179, 0.387], [0.821, 0.613, 0.317]],
  "raw_formation_energy_ev_per_atom": -2.926,
  "total_magnetization_mub_per_cell": 0.0,
  "vol_a3_per_atom": 22.01,
  "sg": "P-1",
  "dos_ef_per_ev_atom": 0.000
}

=====

Record 3
{
  "formula": "CaP2Pt3",
  "functional": "PBE",
  "state": "relaxed",
  "cell": [[7.542, -2.047, 0.000], [7.542, 2.047, 0.000], [-3.105, 0.000, 6.648]],
  "species": ["Ca", "Ca", "P", "P", "P", "P", "Pt", "Pt", "Pt", "Pt", "Pt", "Pt"],
  "frac_coords": [[0.161, 0.161, 0.069], [0.839, 0.839, 0.931], [0.184, 0.184, 0.693], [0.484, 0.484, 0.838], [0.516, 0.516, 0.162], [0.816, 0.816, 0.307], [0.049, 0.049, 0.344], [0.314, 0.314, 0.598], [0.398, 0.398, 0.299], [0.602, 0.602, 0.701], [0.686, 0.686, 0.402], [0.951, 0.951, 0.656]],
  "formation_enthalpy_0k_kj_per_mol_atoms": -73.0,
  "total_magnetization_mub_per_cell": 0.0,
  "vol_a3_per_atom": 17.11,
  "sg": "C2/m",
  "dos_ef_per_ev_atom": 0.382
}

=====

Record 4
{
  "formula": "As2P",
  "functional": "PBE",
  "state": "relaxed",
  "cell": [[0.000, 3.862, 3.862], [3.862, 0.000, 3.862], [3.862, 3.862, 0.000]],
  "species": ["As", "As", "As", "As", "P", "P"],
  "frac_coords": [[0.000, 0.000, 0.000], [0.000, 0.000, 0.500], [0.000, 0.500, 0.000], [0.500, 0.000, 0.000], [0.375, 0.375, 0.375], [0.625, 0.625, 0.625]],
  "formation_enthalpy_0k_kj_per_mol_atoms": 88.2,
  "total_magnetization_mub_per_cell": 0.0,
  "vol_a3_per_atom": 19.20,
  "sg": "Fd-3m",
  "dos_ef_per_ev_atom": 0.676
}

=====

Record 5
{
  "formula": "Ba6MgTl2",
  "functional": "PBE",
  "state": "relaxed",
  "cell": [[-5.686, 5.924, 6.613], [5.686, -5.924, 6.613], [5.686, 5.924, -6.613]],
  "species": ["Ba", "Ba", "Ba", "Ba", "Ba", "Ba", "Ba", "Ba", "Ba", "Ba", "Ba", "Ba", "Mg", "Mg", "Tl", "Tl", "Tl", "Tl"],
  "frac_coords": [[0.047, 0.238, 0.809], [0.180, 0.289, 0.469], [0.180, 0.711, 0.891], [0.339, 0.027, 0.688], [0.339, 0.651, 0.312], [0.429, 0.238, 0.191], [0.571, 0.762, 0.809], [0.661, 0.349, 0.688], [0.661, 0.973, 0.312], [0.820, 0.289, 0.109], [0.820, 0.711, 0.531], [0.953, 0.762, 0.191], [0.000, 0.000, 0.000], [0.500, 0.500, 0.000], [0.128, 0.628, 0.500], [0.326, 0.000, 0.326], [0.674, 0.000, 0.674], [0.872, 0.372, 0.500]],
  "formation_enthalpy_0k_kj_per_mol_atoms": -16.2,
  "total_magnetization_mub_per_cell": 3.4,
  "vol_a3_per_atom": 49.49,
  "sg": "Immm",
  "dos_ef_per_ev_atom": 1.592
}

=====

Record 6
{
  "formula": "LiPPb2",
  "functional": "PBE",
  "state": "relaxed",
  "cell": [[-1.860, 2.072, 6.424], [1.860, -2.072, 6.424], [1.860, 2.072, -6.424]],
  "species": ["Li", "P", "Pb", "Pb"],
  "frac_coords": [[0.000, 0.000, 0.000], [0.500, 0.500, 0.000], [0.330, 0.830, 0.500], [0.670, 0.170, 0.500]],
  "formation_enthalpy_0k_kj_per_mol_atoms": -6.9,
  "total_magnetization_mub_per_cell": 0.0,
  "vol_a3_per_atom": 24.76,
  "sg": "Immm",
  "dos_ef_per_ev_atom": 0.308
}

=====

Record 7
{
  "formula": "Nd2Ho2Sb3",
  "functional": "PBE",
  "state": "relaxed",
  "cell": [[4.362, 0.000, 0.000], [2.175, 7.156, 0.000], [0.001, 1.098, 7.469]],
  "species": ["Nd", "Nd", "Ho", "Ho", "Sb", "Sb", "Sb"],
  "frac_coords": [[0.121, 0.260, 0.385], [0.879, 0.740, 0.615], [0.375, 0.751, 0.121], [0.625, 0.249, 0.879], [0.000, 0.500, 0.000], [0.252, 0.995, 0.754], [0.748, 0.005, 0.246]],
  "raw_formation_energy_ev_per_atom": -0.872,
  "total_magnetization_mub_per_cell": 0.0,
  "vol_a3_per_atom": 33.30,
  "sg": "P-1",
  "dos_ef_per_ev_atom": 0.414
}

=====

Record 8
{
  "formula": "La2GeAu",
  "functional": "PBE",
  "state": "relaxed",
  "cell": [[2.218, 1.281, 7.249], [-2.218, 1.281, 7.249], [0.000, -2.561, 7.249]],
  "species": ["La", "La", "Ge", "Au"],
  "frac_coords": [[0.245, 0.245, 0.245], [0.755, 0.755, 0.755], [0.500, 0.500, 0.500], [0.000, 0.000, 0.000]],
  "formation_enthalpy_0k_kj_per_mol_atoms": -69.4,
  "total_magnetization_mub_per_cell": 0.0,
  "vol_a3_per_atom": 30.89,
  "sg": "R-3m",
  "dos_ef_per_ev_atom": 1.030
}

=====

Record 9
{
  "formula": "Th6CuC3Se2",
  "functional": "PBE",
  "state": "relaxed",
  "cell": [[8.931, -1.924, 0.000], [8.931, 1.924, 0.000], [-2.725, 0.000, 7.868]],
  "species": ["Th", "Th", "Th", "Th", "Th", "Th", "Cu", "C", "C", "C", "Se", "Se"],
  "frac_coords": [[0.012, 0.012, 0.224], [0.324, 0.324, 0.447], [0.343, 0.343, 0.892], [0.657, 0.657, 0.108], [0.676, 0.676, 0.553], [0.988, 0.988, 0.776], [0.500, 0.500, 0.500], [0.168, 0.168, 0.333], [0.500, 0.500, 0.000], [0.832, 0.832, 0.667], [0.165, 0.165, 0.830], [0.835, 0.835, 0.170]],
  "raw_formation_energy_ev_per_atom": -0.755,
  "total_magnetization_mub_per_cell": 0.0,
  "vol_a3_per_atom": 22.53,
  "sg": "C2/m",
  "dos_ef_per_ev_atom": 0.644
}

=====

Record 10
{
  "formula": "SmErRu2",
  "functional": "PBE",
  "state": "relaxed",
  "cell": [[3.417, 0.000, 0.000], [0.000, 3.417, 0.000], [0.000, 0.000, 6.846]],
  "species": ["Sm", "Er", "Ru", "Ru"],
  "frac_coords": [[0.000, 0.000, 0.000], [0.000, 0.000, 0.500], [0.500, 0.500, 0.257], [0.500, 0.500, 0.743]],
  "formation_enthalpy_0k_kj_per_mol_atoms": -25.7,
  "total_magnetization_mub_per_cell": 0.0,
  "vol_a3_per_atom": 19.99,
  "sg": "P4/mmm",
  "dos_ef_per_ev_atom": 1.283
}

=====

Record 11
{
  "formula": "Be2AgSnMo",
  "functional": "PBE",
  "state": "relaxed",
  "cell": [[4.235, 0.000, 0.000], [0.000, 4.235, 0.000], [0.000, 0.000, 5.172]],
  "species": ["Be", "Be", "Ag", "Sn", "Mo"],
  "frac_coords": [[0.000, 0.500, 0.000], [0.500, 0.000, 0.000], [0.000, 0.000, 0.000], [0.500, 0.500, 0.500], [0.000, 0.000, 0.500]],
  "formation_enthalpy_0k_kj_per_mol_atoms": 104.7,
  "total_magnetization_mub_per_cell": 1.3,
  "vol_a3_per_atom": 18.55,
  "sg": "P4/mmm",
  "dos_ef_per_ev_atom": 0.732
}

=====

Record 12
{
  "formula": "ZnCr2Fe",
  "functional": "PBE",
  "state": "relaxed",
  "cell": [[2.463, -3.987, 0.000], [2.463, 3.987, 0.000], [0.000, 0.000, 2.427]],
  "species": ["Zn", "Cr", "Cr", "Fe"],
  "frac_coords": [[0.000, 0.000, 0.000], [0.000, 0.500, 0.500], [0.500, 0.000, 0.500], [0.500, 0.500, 0.000]],
  "formation_enthalpy_0k_kj_per_mol_atoms": 21.8,
  "total_magnetization_mub_per_cell": 1.9,
  "vol_a3_per_atom": 11.92,
  "sg": "Cmmm",
  "dos_ef_per_ev_atom": 0.842
}